# PBE BaAlW, optimized geometry
data_BaAlW
_chemical_formula_sum 'Ba4 Al4 W4'
_space_group_name_H-M_alt 'F -4 3 m'
_space_group_IT_number 216
_space_group_name_Hall 'F -4 2 3'
_cell_length_a 6.8208
_cell_length_b 6.8208
_cell_length_c 6.8208
_cell_angle_alpha 90.00
_cell_angle_beta 90.00
_cell_angle_gamma 90.00
loop_
_atom_site_label
_atom_site_fract_x
_atom_site_fract_y
_atom_site_fract_z
Ba1 0.0000 0.0000 0.0000
Al1 0.0000 0.0000 0.5000
W1 0.2500 0.2500 0.7500
# Volume = 26.443 A^3/atom
# Excess energy over the best structure of this formula in the dataset = 0.695 eV/atom
# ΔH_f (0 K) = 1.381 eV per atom

***

# PBE BaAl2W, optimized geometry
data_BaAl2W
_chemical_formula_sum 'Ba2 Al4 W2'
_space_group_name_H-M_alt 'I m m m'
_space_group_IT_number 71
_space_group_name_Hall '-I 2 2'
_cell_length_a 4.2591
_cell_length_b 4.8462
_cell_length_c 8.3681
_cell_angle_alpha 90.00
_cell_angle_beta 90.00
_cell_angle_gamma 90.00
loop_
_atom_site_label
_atom_site_fract_x
_atom_site_fract_y
_atom_site_fract_z
Ba1 0.0000 0.0000 0.0000
Al1 0.0000 0.5000 0.2337
W1 0.0000 0.0000 0.5000
# Volume = 21.590 A^3/atom
# Excess energy over the best structure of this formula in the dataset = 0.522 eV/atom
# ΔH_f (0 K) = 0.770 eV per atom

***

# PBE BaAl2W, optimized geometry
data_BaAl2W
_chemical_formula_sum 'Ba1 Al2 W1'
_space_group_name_H-M_alt 'P m m 2'
_space_group_IT_number 25
_cell_length_a 2.9869
_cell_length_b 4.4281
_cell_length_c 7.2933
_cell_angle_alpha 90.00
_cell_angle_beta 90.00
_cell_angle_gamma 90.00
loop_
_space_group_symop_operation_xyz
'x,y,z'
'-x,-y,z'
'-x,y,z'
'x,-y,z'
loop_
_atom_site_label
_atom_site_fract_x
_atom_site_fract_y
_atom_site_fract_z
Ba1 0.0000 0.0000 0.0000
Al1 0.5000 0.0000 0.5713
Al2 0.5000 0.5000 0.3189
W1 0.0000 0.5000 0.6194
# Volume = 24.116 A^3/atom
# Excess energy over the best structure of this formula in the dataset = 0.125 eV/atom
# ΔH_f (0 K) = 0.373 eV per atom

***

# PBE BaAl2W, optimized geometry
data_BaAl2W
_chemical_formula_sum 'Ba2 Al4 W2'
_space_group_name_H-M_alt 'C 1 2/m 1'
_space_group_IT_number 12
_cell_length_a 9.0297
_cell_length_b 2.9989
_cell_length_c 6.9742
_cell_angle_alpha 90.00
_cell_angle_beta 96.51
_cell_angle_gamma 90.00
loop_
_space_group_symop_operation_xyz
'x,y,z'
'-x,-y,-z'
'-x,y,-z'
'x,-y,z'
'x+1/2,y+1/2,z'
'-x+1/2,-y+1/2,-z'
'-x+1/2,y+1/2,-z'
'x+1/2,-y+1/2,z'
loop_
_atom_site_label
_atom_site_fract_x
_atom_site_fract_y
_atom_site_fract_z
Ba1 0.0000 0.0000 0.0000
Al1 0.2349 0.0000 0.6597
W1 0.0000 0.5000 0.5000
# Volume = 23.454 A^3/atom
# Excess energy over the best structure of this formula in the dataset = 0.140 eV/atom
# ΔH_f (0 K) = 0.388 eV per atom

***

# PBE Ba2AlW2, optimized geometry
data_Ba2AlW2
_chemical_formula_sum 'Ba4 Al2 W4'
_space_group_name_H-M_alt 'P 4/m b m'
_space_group_IT_number 127
_space_group_name_Hall '-P 4 2ab'
_cell_length_a 7.1276
_cell_length_b 7.1276
_cell_length_c 5.4117
_cell_angle_alpha 90.00
_cell_angle_beta 90.00
_cell_angle_gamma 90.00
loop_
_atom_site_label
_atom_site_fract_x
_atom_site_fract_y
_atom_site_fract_z
Ba1 0.1851 0.3149 0.0000
Al1 0.0000 0.0000 0.5000
W1 0.1179 0.6179 0.5000
# Volume = 27.493 A^3/atom
# Excess energy over the best structure of this formula in the dataset = 0.000 eV/atom
# ΔH_f (0 K) = 0.912 eV per atom

***

# PBE Ba3AlW, optimized geometry
data_Ba3AlW
_chemical_formula_sum 'Ba3 Al1 W1'
_space_group_name_H-M_alt 'P m -3 m'
_space_group_IT_number 221
_space_group_name_Hall '-P 4 2 3'
_cell_length_a 5.9724
_cell_length_b 5.9724
_cell_length_c 5.9724
_cell_angle_alpha 90.00
_cell_angle_beta 90.00
_cell_angle_gamma 90.00
loop_
_atom_site_label
_atom_site_fract_x
_atom_site_fract_y
_atom_site_fract_z
Ba1 0.0000 0.0000 0.5000
Al1 0.5000 0.5000 0.5000
W1 0.0000 0.0000 0.0000
# Volume = 42.607 A^3/atom
# Excess energy over the best structure of this formula in the dataset = 0.000 eV/atom
# ΔH_f (0 K) = 1.015 eV per atom

***

# PBE BaAl2W, optimized geometry
data_BaAl2W
_chemical_formula_sum 'Ba1 Al2 W1'
_space_group_name_H-M_alt 'P m m m'
_space_group_IT_number 47
_cell_length_a 3.0273
_cell_length_b 5.2504
_cell_length_c 5.5778
_cell_angle_alpha 90.00
_cell_angle_beta 90.00
_cell_angle_gamma 90.00
loop_
_space_group_symop_operation_xyz
'x,y,z'
'-x,-y,-z'
'-x,-y,z'
'x,y,-z'
'x,-y,-z'
'-x,y,z'
'-x,y,-z'
'x,-y,z'
loop_
_atom_site_label
_atom_site_fract_x
_atom_site_fract_y
_atom_site_fract_z
Ba1 0.0000 0.0000 0.0000
Al1 0.0000 0.5000 0.5000
Al2 0.5000 0.5000 0.0000
W1 0.5000 0.0000 0.5000
# Volume = 22.165 A^3/atom
# Excess energy over the best structure of this formula in the dataset = 0.758 eV/atom
# ΔH_f (0 K) = 1.006 eV per atom

***

# PBE BaAlW, optimized geometry
data_BaAlW
_chemical_formula_sum 'Ba1 Al1 W1'
_space_group_name_H-M_alt 'P 3 m 1'
_space_group_IT_number 156
_cell_length_a 3.0879
_cell_length_b 3.0879
_cell_length_c 8.2984
_cell_angle_alpha 90.00
_cell_angle_beta 90.00
_cell_angle_gamma 120.00
loop_
_space_group_symop_operation_xyz
'x,y,z'
'-y,x-y,z'
'-x+y,-x,z'
'-y,-x,z'
'-x+y,y,z'
'x,x-y,z'
loop_
_atom_site_label
_atom_site_fract_x
_atom_site_fract_y
_atom_site_fract_z
Ba1 0.0000 0.0000 0.0000
Al1 0.3333 0.6667 0.6244
W1 0.6667 0.3333 0.3684
# Volume = 22.842 A^3/atom
# Excess energy over the best structure of this formula in the dataset = 0.274 eV/atom
# ΔH_f (0 K) = 0.960 eV per atom

***

# PBE BaAl2W, optimized geometry
data_BaAl2W
_chemical_formula_sum 'Ba4 Al8 W4'
_space_group_name_H-M_alt 'F m -3 m'
_space_group_IT_number 225
_space_group_name_Hall '-F 4 2 3'
_cell_length_a 7.1046
_cell_length_b 7.1046
_cell_length_c 7.1046
_cell_angle_alpha 90.00
_cell_angle_beta 90.00
_cell_angle_gamma 90.00
loop_
_atom_site_label
_atom_site_fract_x
_atom_site_fract_y
_atom_site_fract_z
Ba1 0.0000 0.0000 0.0000
Al1 0.2500 0.2500 0.2500
W1 0.0000 0.0000 0.5000
# Volume = 22.413 A^3/atom
# Excess energy over the best structure of this formula in the dataset = 0.553 eV/atom
# ΔH_f (0 K) = 0.800 eV per atom

***

# PBE BaAlW, optimized geometry
data_BaAlW
_chemical_formula_sum 'Ba1 Al1 W1'
_space_group_name_H-M_alt 'P -6 m 2'
_space_group_IT_number 187
_space_group_name_Hall 'P -6 2'
_cell_length_a 5.1155
_cell_length_b 5.1155
_cell_length_c 3.1335
_cell_angle_alpha 90.00
_cell_angle_beta 90.00
_cell_angle_gamma 120.00
loop_
_atom_site_label
_atom_site_fract_x
_atom_site_fract_y
_atom_site_fract_z
Ba1 0.0000 0.0000 0.0000
Al1 0.3333 0.6667 0.5000
W1 0.6667 0.3333 0.5000
# Volume = 23.671 A^3/atom
# Excess energy over the best structure of this formula in the dataset = 0.418 eV/atom
# ΔH_f (0 K) = 1.104 eV per atom

***

# PBE BaAl2W, optimized geometry
data_BaAl2W
_chemical_formula_sum 'Ba2 Al4 W2'
_space_group_name_H-M_alt 'C 1 m 1'
_space_group_IT_number 8
_cell_length_a 7.7905
_cell_length_b 4.5169
_cell_length_c 6.5548
_cell_angle_alpha 90.00
_cell_angle_beta 113.42
_cell_angle_gamma 90.00
loop_
_space_group_symop_operation_xyz
'x,y,z'
'x,-y,z'
'x+1/2,y+1/2,z'
'x+1/2,-y+1/2,z'
loop_
_atom_site_label
_atom_site_fract_x
_atom_site_fract_y
_atom_site_fract_z
Ba1 0.0000 0.0000 0.0000
Al1 0.0022 0.5000 0.5084
Al2 0.1892 0.0000 0.5686
W1 0.3122 0.5000 0.4380
# Volume = 26.458 A^3/atom
# Excess energy over the best structure of this formula in the dataset = 0.131 eV/atom
# ΔH_f (0 K) = 0.379 eV per atom

***

# PBE BaAl2W, optimized geometry
data_BaAl2W
_chemical_formula_sum 'Ba1 Al2 W1'
_space_group_name_H-M_alt 'P 4/m m m'
_space_group_IT_number 123
_space_group_name_Hall '-P 4 2'
_cell_length_a 5.3987
_cell_length_b 5.3987
_cell_length_c 2.8892
_cell_angle_alpha 90.00
_cell_angle_beta 90.00
_cell_angle_gamma 90.00
loop_
_atom_site_label
_atom_site_fract_x
_atom_site_fract_y
_atom_site_fract_z
Ba1 0.0000 0.0000 0.0000
Al1 0.0000 0.5000 0.5000
W1 0.5000 0.5000 0.0000
# Volume = 21.052 A^3/atom
# Excess energy over the best structure of this formula in the dataset = 0.542 eV/atom
# ΔH_f (0 K) = 0.790 eV per atom

***

# PBE BaAl4W, optimized geometry
data_BaAl4W
_chemical_formula_sum 'Ba4 Al16 W4'
_space_group_name_H-M_alt 'F -4 3 m'
_space_group_IT_number 216
_space_group_name_Hall 'F -4 2 3'
_cell_length_a 7.7911
_cell_length_b 7.7911
_cell_length_c 7.7911
_cell_angle_alpha 90.00
_cell_angle_beta 90.00
_cell_angle_gamma 90.00
loop_
_atom_site_label
_atom_site_fract_x
_atom_site_fract_y
_atom_site_fract_z
Ba1 0.0000 0.0000 0.0000
Al1 0.1238 0.1238 0.3762
W1 0.2500 0.2500 0.7500
# Volume = 19.706 A^3/atom
# ΔH_f (0 K) = 0.363 eV per atom

***

# PBE Ba4AlW, optimized geometry
data_Ba4AlW
_chemical_formula_sum 'Ba16 Al4 W4'
_space_group_name_H-M_alt 'F -4 3 m'
_space_group_IT_number 216
_space_group_name_Hall 'F -4 2 3'
_cell_length_a 9.9323
_cell_length_b 9.9323
_cell_length_c 9.9323
_cell_angle_alpha 90.00
_cell_angle_beta 90.00
_cell_angle_gamma 90.00
loop_
_atom_site_label
_atom_site_fract_x
_atom_site_fract_y
_atom_site_fract_z
Ba1 0.1250 0.1250 0.1250
Al1 0.0000 0.0000 0.5000
W1 0.2500 0.2500 0.7500
# Volume = 40.826 A^3/atom
# ΔH_f (0 K) = 1.315 eV per atom

***

# PBE BaAlW, optimized geometry
data_BaAlW
_chemical_formula_sum 'Ba4 Al4 W4'
_space_group_name_H-M_alt 'F m m 2'
_space_group_IT_number 42
_space_group_name_Hall 'F 2 -2'
_cell_length_a 4.1486
_cell_length_b 4.4486
_cell_length_c 14.9693
_cell_angle_alpha 90.00
_cell_angle_beta 90.00
_cell_angle_gamma 90.00
loop_
_atom_site_label
_atom_site_fract_x
_atom_site_fract_y
_atom_site_fract_z
Ba1 0.0000 0.0000 0.0000
Al1 0.0000 0.0000 0.6925
W1 0.0000 0.0000 0.3104
# Volume = 23.022 A^3/atom
# Excess energy over the best structure of this formula in the dataset = 0.113 eV/atom
# ΔH_f (0 K) = 0.799 eV per atom